A relaxed Nd2EuTe crystal. Source: the Alexandria database, functional PBE-GGA.

Values from the calculation:
Its uncorrected formation energy is -0.39 eV/atom. The total energy is -73.53 eV for the cell shown.

a = 4.0651 Å, b = 4.0651 Å, c = 33.2186 Å
α = 90.00°, β = 90.00°, γ = 120.00°
Space group R-3m (No. 166, hexagonal axes)
Inequivalent atoms, fractional coordinates:
Nd: 0.0000 0.0000 0.1063 x6
Eu: 0.0000 0.0000 0.0000 x3
Te: 0.0000 0.0000 0.5000 x3

=====

A relaxed NdEuTe crystal. Source: the Alexandria database, functional PBE-GGA.

Values from the calculation:
Its uncorrected formation energy is -0.84 eV/atom. The total energy is -41.39 eV for the cell shown. As for the energy above the lowest structure with this stoichiometry: 0 meV per atom.

a = 3.989 Å, b = 3.989 Å, c = 12.929 Å
α = 90.00°, β = 90.00°, γ = 90.00°
Space group I4mm (No. 107)
Inequivalent atoms, fractional coordinates:
Nd: 0.000 0.000 0.000 x2
Eu: 0.000 0.000 0.711 x2
Te: 0.000 0.000 0.371 x2

=====

A relaxed NdEu2Th crystal. Source: the Alexandria database, functional PBE-GGA.

Values from the calculation:
The total energy is -95.09 eV for the cell shown.

a = 3.5637 Å, b = 3.5637 Å, c = 39.6348 Å
α = 90.00°, β = 90.00°, γ = 120.00°
Space group R-3m (No. 166, hexagonal axes)
Inequivalent atoms, fractional coordinates:
Nd: 0.0000 0.0000 0.0000 x3
Eu: 0.0000 0.0000 0.4127 x6
Th: 0.0000 0.0000 0.5000 x3

=====

A relaxed NdEuTh2 crystal. Source: the Alexandria database, functional PBE-GGA.

Values from the calculation:
The total energy is -29.25 eV for the cell shown.

a = 3.567 Å, b = 3.567 Å, c = 10.728 Å
α = 90.00°, β = 90.00°, γ = 90.00°
Space group P4/mmm (No. 123)
Inequivalent atoms, fractional coordinates:
Nd: 0.000 0.000 0.000 x1
Eu: 0.000 0.000 0.500 x1
Th: 0.500 0.500 0.244 x2

=====

> What is the formula in the first record?

Nd2EuTe